A relaxed structure of TbHo3Pt2. Source: Alexandria via LeMat-Bulk, functional PBE-GGA.

Cell lengths 6.895, 7.042, 8.423 Å; angles 114.71, 114.16, 90.00 degrees
Positions (direct):
Ho1 0.237 0.987 0.474
Pt1 0.150 0.860 0.719
Ho2 0.763 0.013 0.526
Ho3 0.500 0.750 0.000
Pt2 0.430 0.640 0.281
Ho4 0.763 0.513 0.526
Pt3 0.570 0.360 0.719
Ho5 0.500 0.250 0.000
Tb1 0.000 0.500 0.000
Ho6 0.237 0.487 0.474
Pt4 0.850 0.140 0.281
Tb2 0.000 0.000 0.000

Properties
For the volume, the calculation gives 332 Å³ per cell. The value obtained for the formation energy is -82.8 kJ per mole of atoms. As for the space group: No. 72.

---

A relaxed structure of TbHoPt2. Source: Alexandria via LeMat-Bulk, functional PBE-GGA.

Cell lengths 4.060, 4.060, 7.064 Å; angles 73.30, 73.30, 60.00 degrees
Positions (direct):
Tb1 0.500 0.500 0.500
Pt1 0.251 0.251 0.247
Pt2 0.749 0.749 0.753
Ho1 0.000 0.000 0.000

Properties
For the volume, the calculation gives 95 Å³ per cell. The value obtained for the formation energy is -109.6 kJ per mole of atoms. As for the space group: No. 166.

---

A relaxed structure of Tb5HoPt6. Source: Alexandria via LeMat-Bulk, functional PBE-GGA.

Cell lengths 4.978, 6.950, 8.589 Å; angles 66.14, 73.36, 90.00 degrees
Positions (direct):
Tb1 0.333 0.333 0.333
Tb2 0.667 0.167 0.667
Pt1 0.166 0.916 0.670
Tb3 0.000 0.500 0.000
Pt2 0.166 0.414 0.670
Pt3 0.834 0.084 0.330
Tb4 0.667 0.667 0.667
Pt4 0.500 0.753 0.000
Ho1 0.000 0.000 0.000
Pt5 0.834 0.586 0.330
Pt6 0.500 0.247 0.000
Tb5 0.333 0.833 0.333

Properties
For the volume, the calculation gives 258 Å³ per cell. The value obtained for the formation energy is -116.6 kJ per mole of atoms. As for the space group: No. 12.

---

A relaxed structure of TbHoPt2. Source: Alexandria via LeMat-Bulk, functional PBE-GGA.

Cell lengths 3.782, 4.456, 5.616 Å; angles 90.00, 109.73, 90.00 degrees
Positions (direct):
Pt1 0.171 0.500 0.881
Tb1 0.444 0.500 0.428
Ho1 0.721 0.000 0.981
Pt2 0.995 0.000 0.529

Properties
For the volume, the calculation gives 89 Å³ per cell. The value obtained for the formation energy is -123.8 kJ per mole of atoms. As for the space group: No. 38.

---

A relaxed structure of TbHo2Pt9. Source: Alexandria via LeMat-Bulk, functional PBE-GGA.

Cell lengths 4.116, 4.116, 12.347 Å; angles 90.00, 90.00, 90.00 degrees
Positions (direct):
Pt1 0.000 0.500 0.832
Pt2 0.500 0.000 0.832
Pt3 0.500 0.500 0.666
Pt4 0.000 0.500 0.168
Pt5 0.000 0.500 0.500
Pt6 0.500 0.500 0.000
Pt7 0.500 0.500 0.334
Pt8 0.500 0.000 0.168
Pt9 0.500 0.000 0.500
Tb1 0.000 0.000 0.000
Ho1 0.000 0.000 0.666
Ho2 0.000 0.000 0.334

Properties
For the volume, the calculation gives 209 Å³ per cell. The value obtained for the formation energy is -100.6 kJ per mole of atoms. As for the space group: No. 123.

---

A relaxed structure of TbHo4Pt2. Source: Alexandria via LeMat-Bulk, functional PBE-GGA.

Cell lengths 6.366, 7.751, 8.044 Å; angles 112.69, 90.00, 90.00 degrees
Positions (direct):
Pt1 0.750 0.377 0.413
Ho1 0.250 0.983 0.613
Pt2 0.750 0.752 0.009
Tb1 0.750 0.152 0.025
Ho2 0.250 0.249 0.346
Ho3 0.505 0.409 0.768
Pt3 0.250 0.623 0.587
Ho4 0.750 0.751 0.654
Ho5 0.750 0.017 0.387
Ho6 0.005 0.591 0.232
Tb2 0.250 0.848 0.975
Ho7 0.495 0.591 0.232
Ho8 0.995 0.409 0.768
Pt4 0.250 0.248 0.991

Properties
For the volume, the calculation gives 366 Å³ per cell. The value obtained for the formation energy is -68.3 kJ per mole of atoms. As for the space group: No. 11.

---

A relaxed structure of Tb2Ho2Pt3. Source: Alexandria via LeMat-Bulk, functional PBE-GGA.

Cell lengths 7.562, 7.562, 7.562 Å; angles 109.47, 109.47, 109.47 degrees
Positions (direct):
Pt1 0.250 0.872 0.122
Pt2 0.372 0.122 0.750
Ho1 0.500 0.874 0.500
Tb1 0.000 0.000 0.373
Pt3 0.128 0.378 0.250
Ho2 0.126 0.626 0.626
Ho3 0.374 0.500 0.000
Pt4 0.622 0.750 0.872
Tb2 0.500 0.373 0.500
Pt5 0.878 0.250 0.628
Tb3 0.873 0.500 0.000
Pt6 0.750 0.628 0.378
Tb4 0.627 0.127 0.127
Ho4 0.000 0.000 0.874

Properties
For the volume, the calculation gives 333 Å³ per cell. The value obtained for the formation energy is -107.4 kJ per mole of atoms. As for the space group: No. 199.

---

A relaxed structure of TbHo2Pt3. Source: Alexandria via LeMat-Bulk, functional PBE-GGA.

Cell lengths 3.452, 4.957, 14.879 Å; angles 90.00, 90.00, 90.00 degrees
Positions (direct):
Ho1 0.000 0.000 0.667
Pt1 0.500 0.000 0.831
Pt2 0.500 0.500 0.000
Ho2 0.000 0.500 0.167
Pt3 0.500 0.500 0.669
Tb1 0.001 0.500 0.500
Pt4 0.500 0.000 0.169
Pt5 0.500 0.000 0.500
Ho3 0.000 0.500 0.833
Ho4 0.000 0.000 0.333
Pt6 0.500 0.500 0.331
Tb2 0.999 0.000 0.000

Properties
For the volume, the calculation gives 255 Å³ per cell. The value obtained for the formation energy is -118.7 kJ per mole of atoms. As for the space group: No. 65.

---

A relaxed structure of TbHo3Pt2. Source: Alexandria via LeMat-Bulk, functional PBE-GGA.

Cell lengths 4.763, 7.141, 8.779 Å; angles 90.00, 90.00, 90.00 degrees
Positions (direct):
Tb1 0.500 0.009 0.418
Tb2 0.500 0.509 0.582
Ho1 0.000 0.491 0.918
Ho2 0.000 0.356 0.330
Ho3 0.000 0.991 0.082
Pt1 0.000 0.758 0.342
Pt2 0.000 0.258 0.658
Pt3 0.500 0.742 0.844
Ho4 0.500 0.144 0.832
Ho5 0.000 0.856 0.670
Ho6 0.500 0.644 0.168
Pt4 0.500 0.242 0.156

Properties
For the volume, the calculation gives 299 Å³ per cell. The value obtained for the formation energy is -93.0 kJ per mole of atoms. As for the space group: No. 26.

---

A relaxed structure of TbHo5Pt4. Source: Alexandria via LeMat-Bulk, functional PBE-GGA.

Cell lengths 4.156, 7.627, 9.527 Å; angles 113.70, 102.60, 90.00 degrees
Positions (direct):
Ho1 0.836 0.594 0.671
Ho2 0.836 0.078 0.671
Ho3 0.500 0.500 0.000
Pt1 0.707 0.207 0.414
Pt2 0.293 0.793 0.586
Tb1 0.500 0.000 0.000
Pt3 0.000 0.744 0.000
Pt4 0.000 0.256 0.000
Ho4 0.164 0.922 0.329
Ho5 0.164 0.406 0.329

Properties
For the volume, the calculation gives 269 Å³ per cell. The value obtained for the formation energy is -97.2 kJ per mole of atoms. As for the space group: No. 12.

---

A relaxed structure of TbHoZnPt. Source: Alexandria via LeMat-Bulk, functional PBE-GGA.

Cell lengths 3.552, 3.552, 6.952 Å; angles 90.00, 90.00, 90.00 degrees
Positions (direct):
Zn1 0.500 0.500 0.603
Pt1 0.500 0.500 0.112
Tb1 0.000 0.000 0.864
Ho1 0.000 0.000 0.349

Properties
For the volume, the calculation gives 88 Å³ per cell. The value obtained for the formation energy is -78.0 kJ per mole of atoms. As for the space group: No. 99.

---

A relaxed structure of TbHoZnPt. Source: Alexandria via LeMat-Bulk, functional PBE-GGA.

Cell lengths 4.982, 4.982, 4.982 Å; angles 60.00, 60.00, 60.00 degrees
Positions (direct):
Ho1 0.500 0.500 0.500
Zn1 0.250 0.250 0.250
Pt1 0.750 0.750 0.750
Tb1 0.000 0.000 0.000

Properties
For the volume, the calculation gives 87 Å³ per cell. The value obtained for the formation energy is -76.5 kJ per mole of atoms. As for the space group: No. 216.